Entry 1:
# TcMo2As, optimized geometry, DFT PBE
# **Formation enthalpy at 0 K**: 0.13 eV/atom
# **V**: 15.2 A^3/atom
data_TcMo2As
_symmetry_space_group_name_H-M 'I -4 m 2'
_symmetry_Int_Tables_number 119
_symmetry_space_group_name_Hall 'I -4 -2'
_cell_length_a 3.730
_cell_length_b 3.730
_cell_length_c 8.756
_cell_angle_alpha 90.00
_cell_angle_beta 90.00
_cell_angle_gamma 90.00
loop_
_atom_site_label
_atom_site_type_symbol
_atom_site_fract_x
_atom_site_fract_y
_atom_site_fract_z
_atom_site_occupancy
Tc1 Tc 0.000 0.000 0.000 1
Mo1 Mo 0.000 0.000 0.500 1
Mo2 Mo 0.000 0.500 0.250 1
As1 As 0.000 0.500 0.750 1

Entry 2:
# Nd6Dy2Tm, optimized geometry, DFT PBE
# **Formation enthalpy at 0 K**: 0.11 eV/atom
# **ΔE to the lowest computed polymorph**: 0.000 eV per atom
# **V**: 34.0 A^3/atom
data_Nd6Dy2Tm
_symmetry_space_group_name_H-M 'C 1 2/c 1'
_symmetry_Int_Tables_number 15
_cell_length_a 12.671
_cell_length_b 14.886
_cell_length_c 6.720
_cell_angle_alpha 90.00
_cell_angle_beta 104.87
_cell_angle_gamma 90.00
loop_
_symmetry_equiv_pos_as_xyz
'x,y,z'
'-x,-y,-z'
'-x,y,-z+1/2'
'x,-y,z+1/2'
'x+1/2,y+1/2,z'
'-x+1/2,-y+1/2,-z'
'-x+1/2,y+1/2,-z+1/2'
'x+1/2,-y+1/2,z+1/2'
loop_
_atom_site_label
_atom_site_type_symbol
_atom_site_fract_x
_atom_site_fract_y
_atom_site_fract_z
_atom_site_occupancy
Nd1 Nd 0.044 0.186 0.017 1
Nd2 Nd 0.137 0.402 0.816 1
Nd3 Nd 0.236 0.193 0.704 1
Dy1 Dy 0.142 0.019 0.364 1
Tm1 Tm 0.000 0.391 0.250 1

Entry 3:
# HBr3Cl, optimized geometry, DFT PBE
# **ΔE to the lowest computed polymorph**: 0.335 eV per atom
# **V**: 20.7 A^3/atom
data_HBr3Cl
_symmetry_space_group_name_H-M 'P m -3 m'
_symmetry_Int_Tables_number 221
_symmetry_space_group_name_Hall '-P 4 2 3'
_cell_length_a 4.692
_cell_length_b 4.692
_cell_length_c 4.692
_cell_angle_alpha 90.00
_cell_angle_beta 90.00
_cell_angle_gamma 90.00
loop_
_atom_site_label
_atom_site_type_symbol
_atom_site_fract_x
_atom_site_fract_y
_atom_site_fract_z
_atom_site_occupancy
H1 H 0.000 0.000 0.000 1
Br1 Br 0.000 0.000 0.500 1
Cl1 Cl 0.500 0.500 0.500 1

Entry 4:
# RbCoSn2, optimized geometry, DFT PBE
# **Formation enthalpy at 0 K**: 0.65 eV/atom
# **ΔE to the lowest computed polymorph**: 0.586 eV per atom
# **V**: 24.6 A^3/atom
data_RbCoSn2
_symmetry_space_group_name_H-M 'F m -3 m'
_symmetry_Int_Tables_number 225
_symmetry_space_group_name_Hall '-F 4 2 3'
_cell_length_a 7.325
_cell_length_b 7.325
_cell_length_c 7.325
_cell_angle_alpha 90.00
_cell_angle_beta 90.00
_cell_angle_gamma 90.00
loop_
_atom_site_label
_atom_site_type_symbol
_atom_site_fract_x
_atom_site_fract_y
_atom_site_fract_z
_atom_site_occupancy
Rb1 Rb 0.000 0.000 0.000 1
Co1 Co 0.000 0.000 0.500 1
Sn1 Sn 0.250 0.250 0.250 1

Entry 5:
# Y3Tm, optimized geometry, DFT PBE
# **Formation enthalpy at 0 K**: 0.00 eV/atom
# **ΔE to the lowest computed polymorph**: 0.001 eV per atom
# **V**: 32.1 A^3/atom
data_Y3Tm
_symmetry_space_group_name_H-M 'I m m 2'
_symmetry_Int_Tables_number 44
_cell_length_a 3.630
_cell_length_b 11.263
_cell_length_c 6.279
_cell_angle_alpha 90.00
_cell_angle_beta 90.00
_cell_angle_gamma 90.00
loop_
_symmetry_equiv_pos_as_xyz
'x,y,z'
'-x,-y,z'
'-x,y,z'
'x,-y,z'
'x+1/2,y+1/2,z+1/2'
'-x+1/2,-y+1/2,z+1/2'
'-x+1/2,y+1/2,z+1/2'
'x+1/2,-y+1/2,z+1/2'
loop_
_atom_site_label
_atom_site_type_symbol
_atom_site_fract_x
_atom_site_fract_y
_atom_site_fract_z
_atom_site_occupancy
Y1 Y 0.000 0.000 0.000 1
Y2 Y 0.000 0.248 0.666 1
Tm1 Tm 0.000 0.500 0.998 1

Entry 6:
# CePr5Te6, optimized geometry, DFT PBE
# **Raw formation energy**: -1432.9 meV/atom
# **V**: 32.8 A^3/atom
data_CePr5Te6
_symmetry_space_group_name_H-M 'C 1 2/m 1'
_symmetry_Int_Tables_number 12
_cell_length_a 7.832
_cell_length_b 13.570
_cell_length_c 7.846
_cell_angle_alpha 90.00
_cell_angle_beta 109.42
_cell_angle_gamma 90.00
loop_
_symmetry_equiv_pos_as_xyz
'x,y,z'
'-x,-y,-z'
'-x,y,-z'
'x,-y,z'
'x+1/2,y+1/2,z'
'-x+1/2,-y+1/2,-z'
'-x+1/2,y+1/2,-z'
'x+1/2,-y+1/2,z'
loop_
_atom_site_label
_atom_site_type_symbol
_atom_site_fract_x
_atom_site_fract_y
_atom_site_fract_z
_atom_site_occupancy
Ce1 Ce 0.000 0.000 0.000 1
Pr1 Pr 0.000 0.172 0.500 1
Pr2 Pr 0.000 0.332 0.000 1
Pr3 Pr 0.000 0.500 0.500 1
Te1 Te 0.246 0.000 0.749 1
Te2 Te 0.247 0.164 0.248 1